# GGA-PBE Al2InTeIr, relaxed
data_Al2InTeIr
_space_group_name_H-M_alt 'P 4/m m m'
_space_group_IT_number 123
_space_group_name_Hall '-P 4 2'
_cell_length_a 4.799
_cell_length_b 4.799
_cell_length_c 5.286
_cell_angle_alpha 90.00
_cell_angle_beta 90.00
_cell_angle_gamma 90.00
loop_
_atom_site_label
_atom_site_fract_x
_atom_site_fract_y
_atom_site_fract_z
Al1 0.000 0.500 0.000
In1 0.000 0.000 0.500
Te1 0.500 0.500 0.500
Ir1 0.000 0.000 0.000
# - Formation energy (no corrections): -0.17 eV per atom



# GGA-PBE Cs2ScU2S6, relaxed
data_Cs2ScU2S6
_space_group_name_H-M_alt 'C 1 2/m 1'
_space_group_IT_number 12
_cell_length_a 6.874
_cell_length_b 11.857
_cell_length_c 8.571
_cell_angle_alpha 90.00
_cell_angle_beta 105.34
_cell_angle_gamma 90.00
loop_
_space_group_symop_operation_xyz
'x,y,z'
'-x,-y,-z'
'-x,y,-z'
'x,-y,z'
'x+1/2,y+1/2,z'
'-x+1/2,-y+1/2,-z'
'-x+1/2,y+1/2,-z'
'x+1/2,-y+1/2,z'
loop_
_atom_site_label
_atom_site_fract_x
_atom_site_fract_y
_atom_site_fract_z
Cs1 0.000 0.167 0.000
Sc1 0.000 0.000 0.500
U1 0.000 0.334 0.500
S1 0.220 0.162 0.675
S2 0.236 0.500 0.675
# - Formation energy (no corrections): -1.54 eV per atom



# GGA-PBE Pm4Dy5Ho2, relaxed
data_Pm4Dy5Ho2
_space_group_name_H-M_alt 'C 1 2/m 1'
_space_group_IT_number 12
_cell_length_a 17.342
_cell_length_b 3.561
_cell_length_c 11.633
_cell_angle_alpha 90.00
_cell_angle_beta 95.11
_cell_angle_gamma 90.00
loop_
_space_group_symop_operation_xyz
'x,y,z'
'-x,-y,-z'
'-x,y,-z'
'x,-y,z'
'x+1/2,y+1/2,z'
'-x+1/2,-y+1/2,-z'
'-x+1/2,y+1/2,-z'
'x+1/2,-y+1/2,z'
loop_
_atom_site_label
_atom_site_fract_x
_atom_site_fract_y
_atom_site_fract_z
Pm1 0.093 0.000 0.068
Pm2 0.130 0.500 0.327
Dy1 0.000 0.000 0.500
Dy2 0.054 0.500 0.789
Dy3 0.195 0.500 0.601
Ho1 0.228 0.000 0.866
# - Calculated formation energy: 0.04 eV/atom



# GGA-PBE IrCIO2, relaxed
data_IrCIO2
_space_group_name_H-M_alt 'P 4/m m m'
_space_group_IT_number 123
_space_group_name_Hall '-P 4 2'
_cell_length_a 3.729
_cell_length_b 3.729
_cell_length_c 4.585
_cell_angle_alpha 90.00
_cell_angle_beta 90.00
_cell_angle_gamma 90.00
loop_
_atom_site_label
_atom_site_fract_x
_atom_site_fract_y
_atom_site_fract_z
Ir1 0.000 0.000 0.000
C1 0.500 0.500 0.500
I1 0.500 0.500 0.000
O1 0.000 0.500 0.500
# - Formation energy (no corrections): 1.68 eV per atom



# GGA-PBE LaSiTeI2, relaxed
data_LaSiTeI2
_space_group_name_H-M_alt 'P 4/m m m'
_space_group_IT_number 123
_space_group_name_Hall '-P 4 2'
_cell_length_a 6.177
_cell_length_b 6.177
_cell_length_c 6.328
_cell_angle_alpha 90.00
_cell_angle_beta 90.00
_cell_angle_gamma 90.00
loop_
_atom_site_label
_atom_site_fract_x
_atom_site_fract_y
_atom_site_fract_z
La1 0.000 0.000 0.000
Si1 0.500 0.500 0.500
Te1 0.000 0.000 0.500
I1 0.000 0.500 0.000
# - Formation energy (no corrections): -0.11 eV per atom



# GGA-PBE KSi2Pt2, relaxed
data_KSi2Pt2
_space_group_name_H-M_alt 'P -1'
_space_group_IT_number 2
_cell_length_a 5.978
_cell_length_b 5.982
_cell_length_c 7.326
_cell_angle_alpha 105.08
_cell_angle_beta 105.07
_cell_angle_gamma 110.57
loop_
_space_group_symop_operation_xyz
'x,y,z'
'-x,-y,-z'
loop_
_atom_site_label
_atom_site_fract_x
_atom_site_fract_y
_atom_site_fract_z
K1 0.125 0.376 0.251
Si1 0.237 0.263 0.750
Si2 0.488 0.011 0.250
Pt1 0.217 0.968 0.435
Pt2 0.468 0.717 0.935
# - Formation energy (no corrections): -0.60 eV per atom



# GGA-PBE Ac2AlGe6, relaxed
data_Ac2AlGe6
_space_group_name_H-M_alt 'C 1 2/m 1'
_space_group_IT_number 12
_cell_length_a 8.629
_cell_length_b 9.096
_cell_length_c 11.150
_cell_angle_alpha 90.00
_cell_angle_beta 101.17
_cell_angle_gamma 90.00
loop_
_space_group_symop_operation_xyz
'x,y,z'
'-x,-y,-z'
'-x,y,-z'
'x,-y,z'
'x+1/2,y+1/2,z'
'-x+1/2,-y+1/2,-z'
'-x+1/2,y+1/2,-z'
'x+1/2,-y+1/2,z'
loop_
_atom_site_label
_atom_site_fract_x
_atom_site_fract_y
_atom_site_fract_z
Ac1 0.084 0.248 0.335
Al1 0.203 0.000 0.812
Ge1 0.014 0.500 0.890
Ge2 0.069 0.000 0.110
Ge3 0.139 0.500 0.574
Ge4 0.147 0.000 0.567
Ge5 0.222 0.288 0.890
# - Calculated formation energy: -0.43 eV/atom



# GGA-PBE Na5Sn4Sb4, relaxed
data_Na5Sn4Sb4
_space_group_name_H-M_alt 'I 4/m'
_space_group_IT_number 87
_space_group_name_Hall '-I 4'
_cell_length_a 12.679
_cell_length_b 12.679
_cell_length_c 4.942
_cell_angle_alpha 90.00
_cell_angle_beta 90.00
_cell_angle_gamma 90.00
loop_
_atom_site_label
_atom_site_fract_x
_atom_site_fract_y
_atom_site_fract_z
Na1 0.000 0.000 0.000
Na2 0.128 0.204 0.500
Sn1 0.081 0.602 0.500
Sb1 0.065 0.757 0.000
# - Formation energy (no corrections): -0.19 eV per atom



# GGA-PBE La3NdEr2Te6, relaxed
data_La3NdEr2Te6
_space_group_name_H-M_alt 'C 1 2/m 1'
_space_group_IT_number 12
_cell_length_a 7.709
_cell_length_b 13.411
_cell_length_c 7.813
_cell_angle_alpha 90.00
_cell_angle_beta 109.30
_cell_angle_gamma 90.00
loop_
_space_group_symop_operation_xyz
'x,y,z'
'-x,-y,-z'
'-x,y,-z'
'x,-y,z'
'x+1/2,y+1/2,z'
'-x+1/2,-y+1/2,-z'
'-x+1/2,y+1/2,-z'
'x+1/2,-y+1/2,z'
loop_
_atom_site_label
_atom_site_fract_x
_atom_site_fract_y
_atom_site_fract_z
La1 0.000 0.000 0.000
La2 0.000 0.340 0.000
Nd1 0.000 0.500 0.500
Er1 0.000 0.167 0.500
Te1 0.233 0.000 0.730
Te2 0.249 0.172 0.263
# - Formation energy (no corrections): -1.45 eV per atom



# GGA-PBE Cu2As, relaxed
data_Cu2As
_space_group_name_H-M_alt 'C m c m'
_space_group_IT_number 63
_space_group_name_Hall '-C 2c 2'
_cell_length_a 3.704
_cell_length_b 12.015
_cell_length_c 3.793
_cell_angle_alpha 90.00
_cell_angle_beta 90.00
_cell_angle_gamma 90.00
loop_
_atom_site_label
_atom_site_fract_x
_atom_site_fract_y
_atom_site_fract_z
Cu1 0.000 0.084 0.250
Cu2 0.000 0.255 0.750
As1 0.000 0.398 0.250
# - Calculated formation energy: 0.08 eV/atom



# GGA-PBE BaTcRh, relaxed
data_BaTcRh
_space_group_name_H-M_alt 'C 1 2/m 1'
_space_group_IT_number 12
_cell_length_a 7.395
_cell_length_b 4.271
_cell_length_c 10.793
_cell_angle_alpha 90.00
_cell_angle_beta 90.54
_cell_angle_gamma 90.00
loop_
_space_group_symop_operation_xyz
'x,y,z'
'-x,-y,-z'
'-x,y,-z'
'x,-y,z'
'x+1/2,y+1/2,z'
'-x+1/2,-y+1/2,-z'
'-x+1/2,y+1/2,-z'
'x+1/2,-y+1/2,z'
loop_
_atom_site_label
_atom_site_fract_x
_atom_site_fract_y
_atom_site_fract_z
Ba1 0.170 0.000 0.302
Tc1 0.166 0.000 0.995
Rh1 0.002 0.500 0.125
# - Calculated formation energy: 0.06 eV/atom



# GGA-PBE Ce2PmAg2Hg2, relaxed
data_Ce2PmAg2Hg2
_space_group_name_H-M_alt 'R -3 m'
_space_group_IT_number 166
_space_group_name_Hall '-R 3 2"'
_cell_length_a 4.9032
_cell_length_b 4.9032
_cell_length_c 24.5672
_cell_angle_alpha 90.00
_cell_angle_beta 90.00
_cell_angle_gamma 120.00
loop_
_atom_site_label
_atom_site_fract_x
_atom_site_fract_y
_atom_site_fract_z
Ce1 0.0000 0.0000 0.1408
Pm1 0.0000 0.0000 0.0000
Ag1 0.0000 0.0000 0.4186
Hg1 0.0000 0.0000 0.2711
# - Calculated formation energy: -0.19 eV/atom



# GGA-PBE Na5Ag3F12, relaxed
data_Na5Ag3F12
_space_group_name_H-M_alt 'I a -3 d'
_space_group_IT_number 230
_space_group_name_Hall '-I 4bd 2c 3'
_cell_length_a 13.704
_cell_length_b 13.704
_cell_length_c 13.704
_cell_angle_alpha 90.00
_cell_angle_beta 90.00
_cell_angle_gamma 90.00
loop_
_atom_site_label
_atom_site_fract_x
_atom_site_fract_y
_atom_site_fract_z
Na1 0.000 0.000 0.000
Na2 0.000 0.250 0.375
Ag1 0.000 0.250 0.125
F1 0.003 0.043 0.164
# - Formation energy (no corrections): -1.81 eV per atom



# GGA-PBE EuDyMgPb, relaxed
data_EuDyMgPb
_space_group_name_H-M_alt 'F -4 3 m'
_space_group_IT_number 216
_space_group_name_Hall 'F -4 2 3'
_cell_length_a 7.756
_cell_length_b 7.756
_cell_length_c 7.756
_cell_angle_alpha 90.00
_cell_angle_beta 90.00
_cell_angle_gamma 90.00
loop_
_atom_site_label
_atom_site_fract_x
_atom_site_fract_y
_atom_site_fract_z
Eu1 0.000 0.000 0.000
Dy1 0.000 0.000 0.500
Mg1 0.250 0.250 0.750
Pb1 0.250 0.250 0.250
# - Calculated formation energy: -0.30 eV/atom



# GGA-PBE Ga8Ag2Pt3, relaxed
data_Ga8Ag2Pt3
_space_group_name_H-M_alt 'P 1 2/m 1'
_space_group_IT_number 10
_cell_length_a 7.602
_cell_length_b 4.265
_cell_length_c 7.813
_cell_angle_alpha 90.00
_cell_angle_beta 112.68
_cell_angle_gamma 90.00
loop_
_space_group_symop_operation_xyz
'x,y,z'
'-x,-y,-z'
'-x,y,-z'
'x,-y,z'
loop_
_atom_site_label
_atom_site_fract_x
_atom_site_fract_y
_atom_site_fract_z
Ga1 0.084 0.000 0.384
Ga2 0.138 0.500 0.900
Ga3 0.304 0.000 0.138
Ga4 0.386 0.500 0.642
Ag1 0.314 0.000 0.810
Pt1 0.221 0.500 0.283
Pt2 0.500 0.000 0.500
# - Calculated formation energy: -0.31 eV/atom



# GGA-PBE Ca2RhBr, relaxed
data_Ca2RhBr
_space_group_name_H-M_alt 'I m m 2'
_space_group_IT_number 44
_cell_length_a 3.597
_cell_length_b 3.771
_cell_length_c 15.517
_cell_angle_alpha 90.00
_cell_angle_beta 90.00
_cell_angle_gamma 90.00
loop_
_space_group_symop_operation_xyz
'x,y,z'
'-x,-y,z'
'-x,y,z'
'x,-y,z'
'x+1/2,y+1/2,z+1/2'
'-x+1/2,-y+1/2,z+1/2'
'-x+1/2,y+1/2,z+1/2'
'x+1/2,-y+1/2,z+1/2'
loop_
_atom_site_label
_atom_site_fract_x
_atom_site_fract_y
_atom_site_fract_z
Ca1 0.000 0.000 0.000
Ca2 0.000 0.500 0.288
Rh1 0.000 0.000 0.417
Br1 0.000 0.500 0.672
# - Formation energy (no corrections): -0.83 eV per atom



# GGA-PBE Sr3CaSc, relaxed
data_Sr3CaSc
_space_group_name_H-M_alt 'P m -3 m'
_space_group_IT_number 221
_space_group_name_Hall '-P 4 2 3'
_cell_length_a 6.427
_cell_length_b 6.427
_cell_length_c 6.427
_cell_angle_alpha 90.00
_cell_angle_beta 90.00
_cell_angle_gamma 90.00
loop_
_atom_site_label
_atom_site_fract_x
_atom_site_fract_y
_atom_site_fract_z
Sr1 0.000 0.000 0.500
Ca1 0.500 0.500 0.500
Sc1 0.000 0.000 0.000
# - Calculated formation energy: 0.55 eV/atom



# GGA-PBE BeCrSi2, relaxed
data_BeCrSi2
_space_group_name_H-M_alt 'C 1 2/m 1'
_space_group_IT_number 12
_cell_length_a 8.200
_cell_length_b 2.571
_cell_length_c 4.423
_cell_angle_alpha 90.00
_cell_angle_beta 97.06
_cell_angle_gamma 90.00
loop_
_space_group_symop_operation_xyz
'x,y,z'
'-x,-y,-z'
'-x,y,-z'
'x,-y,z'
'x+1/2,y+1/2,z'
'-x+1/2,-y+1/2,-z'
'-x+1/2,y+1/2,-z'
'x+1/2,-y+1/2,z'
loop_
_atom_site_label
_atom_site_fract_x
_atom_site_fract_y
_atom_site_fract_z
Be1 0.000 0.000 0.000
Cr1 0.000 0.500 0.500
Si1 0.243 0.000 0.746
# - Formation energy (no corrections): 0.11 eV per atom



# GGA-PBE La2MgBC, relaxed
data_La2MgBC
_space_group_name_H-M_alt 'P 4/m m m'
_space_group_IT_number 123
_space_group_name_Hall '-P 4 2'
_cell_length_a 5.145
_cell_length_b 5.145
_cell_length_c 4.324
_cell_angle_alpha 90.00
_cell_angle_beta 90.00
_cell_angle_gamma 90.00
loop_
_atom_site_label
_atom_site_fract_x
_atom_site_fract_y
_atom_site_fract_z
La1 0.000 0.500 0.000
Mg1 0.000 0.000 0.500
B1 0.000 0.000 0.000
C1 0.500 0.500 0.500
# - Calculated formation energy: 0.78 eV/atom



# GGA-PBE LiPr6Al2, relaxed
data_LiPr6Al2
_space_group_name_H-M_alt 'C 1 2/m 1'
_space_group_IT_number 12
_cell_length_a 16.260
_cell_length_b 7.758
_cell_length_c 5.088
_cell_angle_alpha 90.00
_cell_angle_beta 108.07
_cell_angle_gamma 90.00
loop_
_space_group_symop_operation_xyz
'x,y,z'
'-x,-y,-z'
'-x,y,-z'
'x,-y,z'
'x+1/2,y+1/2,z'
'-x+1/2,-y+1/2,-z'
'-x+1/2,y+1/2,-z'
'x+1/2,-y+1/2,z'
loop_
_atom_site_label
_atom_site_fract_x
_atom_site_fract_y
_atom_site_fract_z
Li1 0.000 0.000 0.000
Pr1 0.000 0.265 0.500
Pr2 0.167 0.255 0.168
Al1 0.168 0.500 0.668
# - Calculated formation energy: 0.13 eV/atom